1.
{
  "formula": "Y2Ho8Sc3",
  "functional": "PBE",
  "state": "relaxed",
  "dft_energy_ev_per_cell": -65.14,
  "sg": "No. 12",
  "n_ef_per_ev_cell": 20.5,
  "ef_ev_per_atom": 0.262,
  "relative_energy_mev_per_atom": 62.6,
  "lattice": [[6.4949, 0.0000, 0.6650], [0.0000, 8.6736, 0.0000], [-1.8121, -4.3368, 7.0865]],
  "species": ["Y", "Sc", "Ho", "Ho", "Ho", "Ho", "Ho", "Sc", "Ho", "Sc", "Y", "Ho", "Ho"],
  "fractional_positions": [[0.2836, 0.2019, 0.4037], [0.0000, 0.8363, 0.0000], [0.4269, 0.7914, 0.2175], [0.7894, 0.1932, 0.3864], [0.2106, 0.8068, 0.6136], [0.4269, 0.4260, 0.2175], [0.8864, 0.5870, 0.1741], [0.5000, 0.0000, 0.0000], [0.1136, 0.4130, 0.8259], [0.0000, 0.1637, 0.0000], [0.7164, 0.7981, 0.5963], [0.5731, 0.2086, 0.7825], [0.5731, 0.5740, 0.7825]]
}

---

2.
{
  "formula": "Y2Ho3Sc3",
  "functional": "PBE",
  "state": "relaxed",
  "dft_energy_ev_per_cell": -43.75,
  "sg": "No. 155",
  "n_ef_per_ev_cell": 16.3,
  "ef_ev_per_atom": 0.238,
  "relative_energy_mev_per_atom": 185.8,
  "lattice": [[-4.3456, 3.6708, 2.5578], [-3.1102, 0.9974, -5.3134], [-2.8942, -5.3539, 1.3641]],
  "species": ["Ho", "Sc", "Ho", "Sc", "Sc", "Ho", "Y", "Y"],
  "fractional_positions": [[0.5000, 0.2599, 0.2599], [0.0000, 0.2249, 0.2249], [0.7401, 0.5000, 0.7401], [0.2249, 0.7751, 0.0000], [0.7751, 0.0000, 0.7751], [0.2599, 0.7401, 0.5000], [0.7482, 0.7482, 0.2518], [0.2518, 0.2518, 0.7482]]
}

---

3.
{
  "formula": "YHo5Sc",
  "functional": "PBE",
  "state": "relaxed",
  "dft_energy_ev_per_cell": -69.06,
  "sg": "No. 15",
  "n_ef_per_ev_cell": 22.8,
  "ef_ev_per_atom": 0.165,
  "relative_energy_mev_per_atom": 0.0,
  "lattice": [[7.4807, 0.0000, 0.0000], [-3.7403, 4.4133, -1.2177], [0.0000, 3.3932, 12.3535]],
  "species": ["Ho", "Ho", "Y", "Y", "Ho", "Ho", "Ho", "Ho", "Ho", "Ho", "Ho", "Ho", "Sc", "Sc"],
  "fractional_positions": [[0.5787, 0.4027, 0.1134], [0.5792, 0.4037, 0.3863], [0.3064, 0.0000, 0.7500], [0.6936, 0.0000, 0.2500], [0.8240, 0.4027, 0.6134], [0.4208, 0.5963, 0.6137], [0.0994, 0.0000, 0.2500], [0.9006, 0.0000, 0.7500], [0.4213, 0.5973, 0.8866], [0.8245, 0.4037, 0.8863], [0.1760, 0.5973, 0.3866], [0.1755, 0.5963, 0.1137], [0.0000, 0.0000, 0.5000], [0.0000, 0.0000, 0.0000]]
}

---

4.
{
  "formula": "Y4Ho7Sc",
  "functional": "PBE",
  "state": "relaxed",
  "dft_energy_ev_per_cell": -63.11,
  "sg": "No. 2",
  "n_ef_per_ev_cell": 21.4,
  "ef_ev_per_atom": 0.094,
  "lattice": [[5.8538, 0.9829, 3.1037], [3.8618, 7.1301, 3.0081], [2.9252, -1.9594, 11.0493]],
  "species": ["Ho", "Y", "Y", "Y", "Ho", "Ho", "Ho", "Ho", "Y", "Ho", "Ho", "Sc"],
  "fractional_positions": [[0.8258, 0.4723, 0.9492], [0.1457, 0.3074, 0.3508], [0.6562, 0.3696, 0.2858], [0.3438, 0.6304, 0.7142], [0.5000, 0.0000, 0.0000], [0.5906, 0.1886, 0.6108], [0.1742, 0.5277, 0.0508], [0.0320, 0.1538, 0.6953], [0.8543, 0.6926, 0.6492], [0.4094, 0.8114, 0.3892], [0.9680, 0.8462, 0.3047], [0.0000, 0.0000, 0.0000]]
}

---

5.
{
  "formula": "YHoSc2",
  "functional": "PBE",
  "state": "relaxed",
  "dft_energy_ev_per_cell": -23.49,
  "sg": "No. 160",
  "n_ef_per_ev_cell": 7.1,
  "ef_ev_per_atom": 0.054,
  "relative_energy_mev_per_atom": 0.0,
  "lattice": [[-2.1966, 2.6182, 0.4682], [-3.0463, 0.0060, -1.6183], [-6.2264, -4.3868, 8.0279]],
  "species": ["Y", "Sc", "Ho", "Sc"],
  "fractional_positions": [[0.6663, 0.6663, 0.0012], [0.2492, 0.2492, 0.2524], [0.5004, 0.5004, 0.4987], [0.0841, 0.0841, 0.7476]]
}

---

6.
{
  "formula": "Y4HoSc5",
  "functional": "PBE",
  "state": "relaxed",
  "dft_energy_ev_per_cell": -59.80,
  "sg": "No. 107",
  "n_ef_per_ev_cell": 15.2,
  "ef_ev_per_atom": 0.230,
  "relative_energy_mev_per_atom": 138.2,
  "lattice": [[5.6127, 0.0000, 0.0000], [2.8064, 7.2091, 0.0000], [2.8064, 0.0000, 7.2091]],
  "species": ["Y", "Y", "Y", "Sc", "Sc", "Y", "Ho", "Sc", "Sc", "Sc"],
  "fractional_positions": [[0.4593, 0.3186, 0.6814], [0.4593, 0.6814, 0.3186], [0.7779, 0.6814, 0.6814], [0.1312, 0.6216, 0.0000], [0.1312, 0.0000, 0.6216], [0.1408, 0.3186, 0.3186], [0.2121, 0.0000, 0.0000], [0.7528, 0.0000, 0.3784], [0.7528, 0.3784, 0.0000], [0.6931, 0.0000, 0.0000]]
}

---

7.
{
  "formula": "YHoSc2",
  "functional": "PBE",
  "state": "relaxed",
  "dft_energy_ev_per_cell": -23.48,
  "sg": "No. 123",
  "n_ef_per_ev_cell": 7.3,
  "ef_ev_per_atom": 0.057,
  "relative_energy_mev_per_atom": 2.8,
  "lattice": [[-1.0312, -4.4177, -1.1890], [4.5573, -0.6244, -1.6326], [1.3796, -1.5144, 4.4303]],
  "species": ["Sc", "Sc", "Y", "Ho"],
  "fractional_positions": [[0.0000, 0.0000, 0.5000], [0.0000, 0.5000, 0.0000], [0.5000, 0.5000, 0.5000], [0.5000, 0.0000, 0.0000]]
}

---

8.
{
  "formula": "Y5Ho2Sc2",
  "functional": "PBE",
  "state": "relaxed",
  "dft_energy_ev_per_cell": -104.44,
  "sg": "No. 46",
  "n_ef_per_ev_cell": 29.0,
  "ef_ev_per_atom": 0.213,
  "relative_energy_mev_per_atom": 191.9,
  "lattice": [[-1.3510, -3.8455, -7.1995], [-5.3362, -3.4376, 2.8375], [-2.6755, 10.7730, -0.4987]],
  "species": ["Ho", "Ho", "Y", "Y", "Y", "Sc", "Sc", "Y", "Y", "Y", "Sc", "Ho", "Y", "Y", "Ho", "Y", "Y", "Sc"],
  "fractional_positions": [[0.5000, 0.5070, 0.0000], [0.8052, 0.7905, 0.5000], [0.5890, 0.6296, 0.6721], [0.7983, 0.2935, 0.5000], [0.4110, 0.9575, 0.3279], [0.5906, 0.9980, 0.9178], [0.4094, 0.0801, 0.0822], [0.4169, 0.4575, 0.3279], [0.8375, 0.8987, 0.2176], [0.8801, 0.3987, 0.2176], [0.8272, 0.4980, 0.9178], [0.1948, 0.2905, 0.5000], [0.1625, 0.6811, 0.7824], [0.5831, 0.1296, 0.6721], [0.0000, 0.0070, 0.0000], [0.2017, 0.7935, 0.5000], [0.1199, 0.1811, 0.7824], [0.1728, 0.5801, 0.0822]]
}

---

9.
{
  "formula": "Y3HoSc4",
  "functional": "PBE",
  "state": "relaxed",
  "dft_energy_ev_per_cell": -46.55,
  "sg": "No. 44",
  "n_ef_per_ev_cell": 12.6,
  "ef_ev_per_atom": 0.343,
  "lattice": [[-2.4353, -1.1271, -6.4967], [1.1723, -4.5648, 5.2151], [-5.5669, 4.0387, 1.4517]],
  "species": ["Sc", "Ho", "Y", "Sc", "Sc", "Y", "Y", "Sc"],
  "fractional_positions": [[0.0043, 0.7638, 0.2405], [0.9957, 0.5000, 0.4957], [0.9259, 0.0000, 0.9259], [0.2822, 0.6757, 0.9579], [0.4767, 0.2362, 0.2405], [0.5920, 0.2050, 0.7970], [0.5920, 0.7950, 0.3870], [0.2822, 0.3243, 0.6066]]
}

---

10.
{
  "formula": "Y4Ho8Sc",
  "functional": "PBE",
  "state": "relaxed",
  "dft_energy_ev_per_cell": -66.36,
  "sg": "No. 166",
  "n_ef_per_ev_cell": 19.9,
  "ef_ev_per_atom": 0.188,
  "lattice": [[-2.5086, 4.8830, 7.8004], [-8.3348, 2.9556, 3.5747], [-4.9813, -2.1455, 7.8464]],
  "species": ["Ho", "Ho", "Ho", "Ho", "Y", "Ho", "Ho", "Y", "Y", "Y", "Sc", "Ho", "Ho"],
  "fractional_positions": [[0.7781, 0.7781, 0.7781], [0.8189, 0.2543, 0.2543], [0.2543, 0.8189, 0.2543], [0.2219, 0.2219, 0.2219], [0.5000, 0.0000, 0.5000], [0.2543, 0.2543, 0.8189], [0.7457, 0.1811, 0.7457], [0.0000, 0.0000, 0.0000], [0.5000, 0.5000, 0.0000], [0.0000, 0.5000, 0.5000], [0.5000, 0.5000, 0.5000], [0.1811, 0.7457, 0.7457], [0.7457, 0.7457, 0.1811]]
}

---

11.
{
  "formula": "Y14HoSc",
  "functional": "PBE",
  "state": "relaxed",
  "dft_energy_ev_per_cell": -100.92,
  "sg": "No. 123",
  "n_ef_per_ev_cell": 22.5,
  "ef_ev_per_atom": 0.030,
  "lattice": [[7.0427, 0.9451, 0.0000], [-0.9448, 7.0428, 0.0000], [0.0000, 0.0000, 10.0154]],
  "species": ["Y", "Y", "Y", "Y", "Sc", "Y", "Y", "Ho", "Y", "Y", "Y", "Y", "Y", "Y", "Y", "Y"],
  "fractional_positions": [[0.6264, 0.3736, 0.2468], [0.1236, 0.3736, 0.2468], [0.3750, 0.1250, 0.5000], [0.1236, 0.3736, 0.7532], [0.8749, 0.1251, 0.0000], [0.8750, 0.6250, 0.5000], [0.6264, 0.8764, 0.2468], [0.3751, 0.6249, 0.0000], [0.8750, 0.6249, 0.0000], [0.3749, 0.6251, 0.5000], [0.8750, 0.1250, 0.5000], [0.1236, 0.8764, 0.7534], [0.6264, 0.8764, 0.7532], [0.1236, 0.8764, 0.2466], [0.6264, 0.3736, 0.7532], [0.3751, 0.1250, 0.0000]]
}

---

12.
{
  "formula": "Y8Ho4Sc",
  "functional": "PBE",
  "state": "relaxed",
  "dft_energy_ev_per_cell": -73.83,
  "sg": "No. 166",
  "n_ef_per_ev_cell": 19.9,
  "ef_ev_per_atom": 0.194,
  "lattice": [[6.3858, -0.0005, -3.4451], [-4.1220, 5.9712, -0.0005], [1.1997, 0.8289, 9.8643]],
  "species": ["Y", "Y", "Ho", "Y", "Sc", "Y", "Y", "Y", "Ho", "Y", "Y", "Ho", "Ho"],
  "fractional_positions": [[0.9482, 0.7459, 0.6942], [0.0518, 0.2541, 0.3058], [0.5000, 0.5000, 0.0000], [0.0518, 0.7977, 0.3058], [0.0000, 0.5000, 0.5000], [0.9482, 0.2023, 0.6942], [0.5081, 0.2541, 0.3058], [0.4326, 0.2163, 0.6488], [0.0000, 0.5000, 0.0000], [0.4919, 0.7459, 0.6942], [0.5674, 0.7837, 0.3512], [0.5000, 0.0000, 0.0000], [0.0000, 0.0000, 0.0000]]
}

---

13.
{
  "formula": "Y6Ho8Sc",
  "functional": "PBE",
  "state": "relaxed",
  "dft_energy_ev_per_cell": -80.00,
  "sg": "No. 148",
  "n_ef_per_ev_cell": 24.1,
  "ef_ev_per_atom": 0.116,
  "relative_energy_mev_per_atom": 0.0,
  "lattice": [[-7.3925, -4.6536, -2.1275], [0.0128, -8.9717, 0.5831], [-4.5773, -4.1258, 5.9324]],
  "species": ["Ho", "Y", "Ho", "Y", "Y", "Ho", "Ho", "Ho", "Ho", "Ho", "Sc", "Y", "Y", "Y", "Ho"],
  "fractional_positions": [[0.8906, 0.2543, 0.5768], [0.4558, 0.8883, 0.8780], [0.4238, 0.4238, 0.7287], [0.2220, 0.5442, 0.1220], [0.1117, 0.2220, 0.1220], [0.5762, 0.5762, 0.2713], [0.7216, 0.1094, 0.4232], [0.2784, 0.8906, 0.5768], [0.2543, 0.2784, 0.5768], [0.1094, 0.7457, 0.4232], [0.0000, 0.0000, 0.0000], [0.5442, 0.1117, 0.1220], [0.7780, 0.4558, 0.8780], [0.8883, 0.7780, 0.8780], [0.7457, 0.7216, 0.4232]]
}

---

14.
{
  "formula": "Y12Ho2Sc5",
  "functional": "PBE",
  "state": "relaxed",
  "dft_energy_ev_per_cell": -115.38,
  "sg": "No. 12",
  "n_ef_per_ev_cell": 32.8,
  "ef_ev_per_atom": 0.158,
  "lattice": [[8.7358, 0.0000, 0.0000], [-4.3679, 7.8646, 1.2242], [0.0000, -1.4457, 8.2890]],
  "species": ["Y", "Y", "Ho", "Y", "Y", "Sc", "Y", "Ho", "Sc", "Y", "Sc", "Sc", "Y", "Y", "Y", "Y", "Sc", "Y", "Y"],
  "fractional_positions": [[0.3894, 0.3727, 0.2244], [0.1665, 0.3329, 0.8706], [0.2139, 0.0000, 0.0000], [0.5552, 0.1103, 0.2728], [0.4448, 0.8897, 0.7272], [0.6457, 0.2913, 0.9400], [0.5984, 0.7819, 0.3865], [0.7861, 0.0000, 0.0000], [0.3543, 0.7087, 0.0600], [0.8165, 0.2181, 0.6135], [0.0000, 0.0000, 0.5000], [0.2440, 0.4881, 0.5494], [0.6106, 0.6273, 0.7756], [0.4016, 0.2181, 0.6135], [0.1835, 0.7819, 0.3865], [0.0167, 0.6273, 0.7756], [0.7560, 0.5119, 0.4506], [0.9833, 0.3727, 0.2244], [0.8335, 0.6671, 0.1294]]
}

---

15.
{
  "formula": "Y4Ho3Sc2",
  "functional": "PBE",
  "state": "relaxed",
  "dft_energy_ev_per_cell": -102.55,
  "sg": "No. 15",
  "n_ef_per_ev_cell": 31.3,
  "ef_ev_per_atom": 0.109,
  "relative_energy_mev_per_atom": 41.6,
  "lattice": [[-5.8387, -0.3540, -0.4288], [-0.4006, -9.8882, -1.1331], [-1.4737, -4.2984, 8.8641]],
  "species": ["Ho", "Y", "Y", "Sc", "Y", "Ho", "Y", "Y", "Ho", "Sc", "Y", "Ho", "Sc", "Ho", "Y", "Ho", "Y", "Sc"],
  "fractional_positions": [[0.5813, 0.6802, 0.9742], [0.3798, 0.1802, 0.3875], [0.4677, 0.9447, 0.1797], [0.1947, 0.7365, 0.4693], [0.9677, 0.1797, 0.9447], [0.0813, 0.9742, 0.6802], [0.6202, 0.8198, 0.6125], [0.0323, 0.8203, 0.0553], [0.2500, 0.3886, 0.6114], [0.6947, 0.4693, 0.7365], [0.5323, 0.0553, 0.8203], [0.4187, 0.3198, 0.0258], [0.8053, 0.2635, 0.5307], [0.7500, 0.6114, 0.3886], [0.1202, 0.6125, 0.8198], [0.9187, 0.0258, 0.3198], [0.8798, 0.3875, 0.1802], [0.3053, 0.5307, 0.2635]]
}

---

16.
{
  "formula": "YHoSc3",
  "functional": "PBE",
  "state": "relaxed",
  "dft_energy_ev_per_cell": -26.25,
  "sg": "No. 166",
  "n_ef_per_ev_cell": 7.2,
  "ef_ev_per_atom": 0.758,
  "relative_energy_mev_per_atom": 582.4,
  "lattice": [[-4.8308, 4.4078, -3.6113], [-5.4851, -3.0194, -4.0748], [-5.2558, 0.4706, -0.1217]],
  "species": ["Ho", "Sc", "Y", "Sc", "Sc"],
  "fractional_positions": [[0.4750, 0.4750, 0.5750], [0.4750, 0.9750, 0.5750], [0.9750, 0.9750, 0.0750], [0.9750, 0.9750, 0.5750], [0.9750, 0.4750, 0.5750]]
}

---

17.
{
  "formula": "Y9HoSc2",
  "functional": "PBE",
  "state": "relaxed",
  "dft_energy_ev_per_cell": -74.91,
  "sg": "No. 123",
  "n_ef_per_ev_cell": 19.1,
  "ef_ev_per_atom": 0.042,
  "lattice": [[-4.5110, 2.0872, 0.2914], [-2.1016, -4.4043, -0.9879], [-0.4685, -3.0500, 14.5941]],
  "species": ["Y", "Ho", "Y", "Sc", "Y", "Y", "Sc", "Y", "Y", "Y", "Y", "Y"],
  "fractional_positions": [[0.5000, 0.5000, 0.6644], [0.0000, 0.0000, 0.0000], [0.5000, 0.5000, 0.3356], [0.0000, 0.0000, 0.3349], [0.5000, 0.0000, 0.5000], [0.5000, 0.0000, 0.8294], [0.0000, 0.0000, 0.6651], [0.5000, 0.5000, 0.0000], [0.5000, 0.0000, 0.1706], [0.0000, 0.5000, 0.8294], [0.0000, 0.5000, 0.5000], [0.0000, 0.5000, 0.1706]]
}

---

18.
{
  "formula": "Y4HoSc5",
  "functional": "PBE",
  "state": "relaxed",
  "dft_energy_ev_per_cell": -61.18,
  "sg": "No. 12",
  "n_ef_per_ev_cell": 18.5,
  "ef_ev_per_atom": 0.091,
  "relative_energy_mev_per_atom": 0.0,
  "lattice": [[3.2844, 0.0030, -0.8090], [-0.5261, 10.6247, -2.1243], [0.2887, -1.0479, 8.2366]],
  "species": ["Y", "Y", "Sc", "Sc", "Sc", "Sc", "Y", "Sc", "Ho", "Y"],
  "fractional_positions": [[0.0904, 0.3029, 0.1822], [0.3904, 0.2068, 0.7823], [0.8079, 0.9200, 0.6152], [0.2135, 0.6185, 0.4251], [0.5000, 0.5000, 0.0000], [0.7865, 0.3815, 0.5749], [0.6096, 0.7932, 0.2177], [0.1921, 0.0800, 0.3848], [0.5000, 0.0000, 0.0000], [0.9096, 0.6971, 0.8178]]
}

---

19.
{
  "formula": "Y3Ho4Sc4",
  "functional": "PBE",
  "state": "relaxed",
  "dft_energy_ev_per_cell": -61.20,
  "sg": "No. 38",
  "n_ef_per_ev_cell": 19.4,
  "ef_ev_per_atom": 0.166,
  "lattice": [[5.4397, 0.0000, 0.0000], [-2.7199, 5.8080, 0.0000], [0.0000, 0.0000, 10.2843]],
  "species": ["Sc", "Sc", "Y", "Ho", "Ho", "Sc", "Sc", "Ho", "Ho", "Y", "Y"],
  "fractional_positions": [[0.6165, 0.2331, 0.5000], [0.1064, 0.2129, 0.6949], [0.4167, 0.8333, 0.2875], [0.7439, 0.4878, 0.7882], [0.7439, 0.4878, 0.2118], [0.1064, 0.2129, 0.3051], [0.5507, 0.1013, 0.0000], [0.8903, 0.7806, 0.5000], [0.9586, 0.9172, 0.0000], [0.4167, 0.8333, 0.7125], [0.2484, 0.4968, 0.0000]]
}

---

20.
{
  "formula": "Y3Ho2Sc3",
  "functional": "PBE",
  "state": "relaxed",
  "dft_energy_ev_per_cell": -47.11,
  "sg": "No. 71",
  "n_ef_per_ev_cell": 13.1,
  "ef_ev_per_atom": 0.055,
  "relative_energy_mev_per_atom": 0.0,
  "lattice": [[4.8069, 0.0000, 0.0000], [0.0000, 4.9165, 0.0000], [-2.4034, -2.4582, 9.7923]],
  "species": ["Sc", "Y", "Y", "Ho", "Sc", "Sc", "Ho", "Y"],
  "fractional_positions": [[0.1245, 0.1245, 0.2490], [0.5000, 0.0000, 0.0000], [0.6225, 0.6225, 0.2450], [0.7487, 0.2487, 0.4975], [0.8755, 0.8755, 0.7510], [0.0000, 0.5000, 0.0000], [0.2513, 0.7513, 0.5025], [0.3775, 0.3775, 0.7550]]
}